The following is a DFT calculation (GGA+U) of a relaxed RhWSe2F crystal.

```
data_RhWSe2F
_symmetry_space_group_name_H-M 'P 4/m m m'
_symmetry_Int_Tables_number 123
_symmetry_space_group_name_Hall '-P 4 2'
_cell_length_a 4.8461
_cell_length_b 4.8461
_cell_length_c 5.0158
_cell_angle_alpha 90.00
_cell_angle_beta 90.00
_cell_angle_gamma 90.00
loop_
_atom_site_label
_atom_site_type_symbol
_atom_site_fract_x
_atom_site_fract_y
_atom_site_fract_z
Rh1 Rh 0.0000 0.0000 0.0000
W1 W 0.0000 0.0000 0.5000
Se1 Se 0.0000 0.5000 0.5000
F1 F 0.5000 0.5000 0.0000
```

Properties
Calculated volume (Å³/f.u.): 117.8
Calculated total energy (eV/atom): -4.021
N(E_F) (states/eV/f.u.): 5.3